Record 1
VASP calculation (GGA-PBE) on a relaxed structure of Na2NpTlS4.

Values from the calculation:
- volume (Å³/f.u.) = 200
- total DFT energy (no corrections) (eV per atom) = -5.321
- crystal system = monoclinic
- DOS at the Fermi energy (states/eV/f.u.) = 4.08

abc: 6.9563 4.0574 7.6193
angles: 90.00 111.71 90.00
With the nearest neighbours (Å) after each atom.
Space group P2/m (No. 10)
Unique sites:
Na  0.0000  0.0000  0.0000 (multiplicity 1)  4 S 3.05
Na  0.0000  0.5000  0.5000 (multiplicity 1)  6 S 2.82-2.93
Np  0.5000  0.0000  0.5000 (multiplicity 1)  6 S 2.52-2.73
Tl  0.5000  0.5000  0.0000 (multiplicity 1)  6 S 3.04-3.12
S  0.2714  0.5000  0.2832 (multiplicity 2)  2 Np 2.73, 1 Na 2.93
S  0.2773  0.0000  0.6959 (multiplicity 2)  1 Np 2.52, 2 Na 2.82



Record 2
VASP calculation (GGA-PBE) on a relaxed structure of KMo2As.

Values from the calculation:
- ΔH_f (0 K) (kcal/mol of atoms) = 10.80
- volume (Å³/f.u.) = 81
- total DFT energy (no corrections) (eV per atom) = -6.384
- crystal system = orthorhombic
- DOS at the Fermi energy (states/eV/f.u.) = 2.89

abc: 3.4465 4.8405 9.7343
angles: 90.00 90.00 90.00
With the nearest neighbours (Å) after each atom.
Space group Cmm2 (No. 35)
Unique sites:
K  0.0000  0.0000  0.0000 (multiplicity 2)  4 K 2.97, 2 As 3.23
Mo  0.0000  0.0000  0.5133 (multiplicity 2)  2 Mo 2.56, 2 As 2.64
Mo  0.0000  0.5000  0.3194 (multiplicity 2)  2 Mo 2.56
As  0.0000  0.5000  0.7190 (multiplicity 2)  2 Mo 2.64